Material: CaPmEu2
Method: DFT, PBE
State: optimized geometry

Cell lengths 4.2147, 6.1001, 6.1001 Å; angles 90.00, 90.00, 90.00 degrees
Closest atoms and distances in Å follow each position.
Fractional coordinates of all 4 atoms:
Ca 0.5000 0.0000 0.0000  8 Eu 3.71
Eu 0.0000 0.5000 0.0000  4 Ca 3.71, 4 Pm 3.71
Pm 0.5000 0.5000 0.5000  8 Eu 3.71
Eu 0.0000 0.0000 0.5000  4 Pm 3.71, 4 Ca 3.71

Values from the calculation:
VASP energy ... -6.7299 eV per atom